5
Lattice="5.360 0.000 0.000 0.000 5.360 0.000 0.000 0.000 4.840" Properties=species:S:1:pos:R:3 comment="ReBi2OsF, optimized geometry, DFT GGA-PBE" dft_energy_ev_per_atom=-5.6057 density_g_cm3=9.71 e_form_raw_mev_per_atom=1056.5 spacegroup="No. 123" m_tot_mub_per_cell=2.300 relative_energy_ev_per_atom=0.0755 pbc="T T T"
Re 0.000 0.000 0.000
Bi 0.000 2.680 2.420
Bi 2.680 0.000 2.420
Os 0.000 0.000 2.420
F 2.680 2.680 0.000